# 1
Entry from OQMD: BaTm2O4 after structural relaxation (PBE-GGA).

Cell lengths 6.949, 6.949, 6.949 Å; angles 119.99, 90.02, 119.99 degrees
Element x y z (fractional)
Ba 0.750 0.500 0.250
Ba 0.000 0.000 0.000
O 0.603 0.207 0.397
O 0.560 0.707 0.853
O 0.147 0.293 0.853
O 0.147 0.293 0.440
O 0.190 0.793 0.397
O 0.147 0.707 0.853
O 0.603 0.207 0.810
O 0.603 0.793 0.397
Tm 0.375 0.250 0.625
Tm 0.375 0.750 0.125
Tm 0.375 0.750 0.625
Tm 0.875 0.250 0.625

Computed properties:
ΔE to the lowest computed polymorph	0.0136	eV per atom
total energy	-7.707	eV/atom
symmetry	Fd-3m (227)

---

# 2
Entry from OQMD: Ba5Tm8Zn4O21 after structural relaxation (PBE-GGA).

Cell lengths 10.035, 10.035, 10.035 Å; angles 94.55, 94.55, 147.28 degrees
Element x y z (fractional)
O 0.500 0.500 0.000
O 0.493 0.899 0.891
O 0.700 0.926 0.128
O 0.008 0.602 0.109
O 0.428 0.300 0.226
O 0.101 0.992 0.594
O 0.992 0.398 0.891
O 0.040 0.629 0.669
O 0.572 0.700 0.774
O 0.507 0.101 0.109
O 0.798 0.572 0.872
O 0.926 0.798 0.226
O 0.602 0.493 0.594
O 0.300 0.074 0.872
O 0.202 0.428 0.128
O 0.074 0.202 0.774
O 0.629 0.960 0.589
O 0.371 0.040 0.411
O 0.899 0.008 0.406
O 0.398 0.507 0.406
O 0.960 0.371 0.331
Ba 0.537 0.140 0.677
Ba 0.000 0.000 0.000
Ba 0.860 0.537 0.397
Ba 0.140 0.463 0.603
Ba 0.463 0.860 0.323
Zn 0.959 0.751 0.710
Zn 0.249 0.959 0.209
Zn 0.751 0.041 0.791
Zn 0.041 0.249 0.290
Tm 0.412 0.358 0.770
Tm 0.248 0.168 0.416
Tm 0.642 0.412 0.054
Tm 0.752 0.832 0.584
Tm 0.168 0.752 0.921
Tm 0.832 0.248 0.079
Tm 0.358 0.588 0.946
Tm 0.588 0.642 0.230

Computed properties:
total energy	-6.961	eV/atom
symmetry	I4/m (87)

---

# 3
Entry from OQMD: BaTm2ZnO5 after structural relaxation (PBE-GGA).

Cell lengths 6.989, 12.189, 5.656 Å; angles 90.00, 90.00, 90.00 degrees
Element x y z (fractional)
Zn 0.310 0.349 0.750
Zn 0.190 0.849 0.750
Zn 0.690 0.651 0.250
Zn 0.810 0.151 0.250
O 0.864 0.276 0.501
O 0.919 0.898 0.750
O 0.581 0.398 0.750
O 0.364 0.224 0.001
O 0.336 0.935 0.000
O 0.336 0.935 0.500
O 0.136 0.724 0.499
O 0.836 0.565 0.000
O 0.636 0.776 0.999
O 0.136 0.724 0.001
O 0.864 0.276 0.999
O 0.664 0.065 0.500
O 0.836 0.565 0.500
O 0.164 0.435 0.000
O 0.636 0.776 0.501
O 0.081 0.102 0.250
O 0.364 0.224 0.499
O 0.664 0.065 0.000
O 0.419 0.602 0.250
O 0.164 0.435 0.500
Tm 0.402 0.074 0.250
Tm 0.878 0.708 0.750
Tm 0.622 0.208 0.750
Tm 0.378 0.792 0.250
Tm 0.122 0.292 0.250
Tm 0.598 0.926 0.750
Tm 0.098 0.574 0.250
Tm 0.902 0.426 0.750
Ba 0.080 0.101 0.750
Ba 0.920 0.899 0.250
Ba 0.580 0.399 0.250
Ba 0.420 0.601 0.750

Computed properties:
total energy	-7.008	eV/atom
symmetry	Pnma (62)

---

# 4
Entry from OQMD: BaY2ZnO5 after structural relaxation (PBE-GGA).

Cell lengths 7.083, 12.341, 5.719 Å; angles 90.00, 90.00, 90.00 degrees
Element x y z (fractional)
O 0.076 0.100 0.250
O 0.424 0.600 0.250
O 0.576 0.400 0.750
O 0.359 0.225 0.501
O 0.834 0.565 0.498
O 0.641 0.775 0.499
O 0.924 0.900 0.750
O 0.666 0.065 0.498
O 0.166 0.435 0.502
O 0.141 0.725 0.501
O 0.666 0.065 0.002
O 0.834 0.565 0.002
O 0.166 0.435 0.998
O 0.859 0.275 0.001
O 0.641 0.775 0.001
O 0.359 0.225 0.999
O 0.141 0.725 0.999
O 0.334 0.935 0.998
O 0.859 0.275 0.499
O 0.334 0.935 0.502
Ba 0.078 0.101 0.750
Ba 0.578 0.399 0.250
Ba 0.922 0.899 0.250
Ba 0.422 0.601 0.750
Zn 0.691 0.650 0.250
Zn 0.191 0.850 0.750
Zn 0.809 0.150 0.250
Zn 0.309 0.350 0.750
Y 0.400 0.075 0.250
Y 0.621 0.208 0.750
Y 0.379 0.792 0.250
Y 0.600 0.925 0.750
Y 0.900 0.425 0.750
Y 0.100 0.575 0.250
Y 0.879 0.708 0.750
Y 0.121 0.292 0.250

Computed properties:
total energy	-7.387	eV/atom
symmetry	Pnma (62)

---

# 5
Entry from OQMD: BaZn2O4 after structural relaxation (PBE-GGA).

Cell lengths 6.552, 6.552, 6.552 Å; angles 120.01, 89.99, 120.01 degrees
Element x y z (fractional)
O 0.150 0.299 0.449
O 0.150 0.299 0.850
O 0.150 0.701 0.850
O 0.551 0.701 0.850
O 0.600 0.201 0.801
O 0.600 0.799 0.400
O 0.199 0.799 0.400
O 0.600 0.201 0.400
Zn 0.375 0.250 0.625
Zn 0.375 0.750 0.625
Zn 0.875 0.250 0.625
Zn 0.375 0.750 0.125
Ba 0.000 0.000 0.000
Ba 0.750 0.500 0.250

Computed properties:
total energy	-4.648	eV/atom
symmetry	Fd-3m (227)

---

# 6
Entry from OQMD: Ba4ZnO after structural relaxation (PBE-GGA).

Cell lengths 3.750, 3.750, 15.252 Å; angles 90.00, 90.00, 90.00 degrees
Element x y z (fractional)
Ba 0.000 0.000 0.862
Ba 0.500 0.500 0.606
Ba 0.000 0.000 0.138
Ba 0.500 0.500 0.394
O 0.000 0.000 0.500
Zn 0.500 0.500 0.000

Computed properties:
total energy	-2.871	eV/atom
symmetry	P4/mmm (123)

---

# 7
Entry from OQMD: Ba2ZnO3 after structural relaxation (PBE-GGA).

Cell lengths 7.223, 7.223, 7.223 Å; angles 149.74, 146.01, 46.14 degrees
Element x y z (fractional)
Ba 0.647 0.647 0.000
Ba 0.353 0.353 0.000
O 0.500 0.000 0.500
O 0.849 0.849 0.000
O 0.151 0.151 0.000
Zn 0.000 0.000 0.000

Computed properties:
ΔE to the lowest computed polymorph	0.1045	eV per atom
total energy	-5.402	eV/atom
symmetry	Immm (71)

---

# 8
Entry from OQMD: Ba2ZnO3 after structural relaxation (PBE-GGA).

Cell lengths 5.838, 6.418, 12.619 Å; angles 91.60, 93.53, 62.95 degrees
Element x y z (fractional)
Ba 0.027 0.411 0.347
Ba 0.863 0.792 0.075
Ba 0.345 0.792 0.425
Ba 0.561 0.411 0.153
Ba 0.439 0.589 0.847
Ba 0.973 0.589 0.653
Ba 0.655 0.208 0.575
Ba 0.137 0.208 0.925
O 0.004 0.991 0.750
O 0.855 0.656 0.867
O 0.489 0.656 0.633
O 0.673 0.198 0.966
O 0.129 0.198 0.534
O 0.596 0.808 0.250
O 0.871 0.802 0.466
O 0.404 0.192 0.750
O 0.996 0.009 0.250
O 0.511 0.344 0.367
O 0.327 0.802 0.034
O 0.145 0.344 0.133
Zn 0.726 0.005 0.337
Zn 0.269 0.005 0.163
Zn 0.731 0.995 0.837
Zn 0.274 0.995 0.663

Computed properties:
ΔE to the lowest computed polymorph	0.0000	eV per atom
total energy	-5.506	eV/atom
symmetry	C2/c (15)